Entry 1:
Tb2PrIn3Te6: optimized geometry, PBE.

Calculated volume   420.83 Å³ per cell
Electronic total energy   -4.41 eV/atom

Unit cell a=7.739 b=7.739 c=8.513 alpha=98.72 beta=98.72 gamma=119.99
Element x y z (fractional)
Tb  0.333  0.667  0.000
Tb  0.667  0.333  0.000
Pr  0.000  0.000  0.000
In  0.164  0.836  0.500
In  0.836  0.164  0.500
In  0.500  0.500  0.500
Te  0.925  0.584  0.776
Te  0.732  0.732  0.221
Te  0.075  0.416  0.224
Te  0.584  0.925  0.776
Te  0.268  0.268  0.779
Te  0.416  0.075  0.224

***

Entry 2:
TbPrThIn: optimized geometry, PBE.

Calculated volume   120.28 Å³ per cell
Electronic total energy   -4.93 eV/atom
Energy of formation from the pure elements   -0.04 eV per atom

Unit cell a=5.541 b=5.541 c=5.541 alpha=60.00 beta=60.00 gamma=60.00
Element x y z (fractional)
Pr  0.500  0.500  0.500
Tb  0.000  0.000  0.000
Th  0.750  0.750  0.750
In  0.250  0.250  0.250

***

Entry 3:
Tb3Pr3TlIn2: optimized geometry, PBE.

Calculated volume   276.72 Å³ per cell
Electronic total energy   -4.29 eV/atom
Energy of formation from the pure elements   -0.28 eV per atom

Unit cell a=3.793 b=9.179 c=9.179 alpha=120.00 beta=90.00 gamma=90.00
Element x y z (fractional)
Tb  0.000  0.615  0.615
Tb  0.000  0.000  0.385
Tb  0.000  0.385  0.000
Pr  0.500  0.712  0.000
Pr  0.500  0.000  0.712
Pr  0.500  0.288  0.288
Tl  0.000  0.000  0.000
In  0.500  0.667  0.333
In  0.500  0.333  0.667

***

Entry 4:
TbPrTmIn: optimized geometry, PBE.

Distance to the lowest polymorph of the same formula   0.068 eV/atom
Calculated volume   117.13 Å³ per cell
Electronic total energy   -4.24 eV/atom
Energy of formation from the pure elements   -0.08 eV per atom

Unit cell a=5.490 b=5.490 c=5.493 alpha=119.99 beta=119.99 gamma=90.00
Site moments in Bohr magnetons follow the coordinates.
Element x y z (fractional)
Tb  0.500  0.500  0.000  0.30
Pr  0.750  0.250  0.500  0.38
Tm  0.000  0.000  0.000  0.33
In  0.250  0.750  0.500  0.00

***

Entry 5:
TbPrTmIn: optimized geometry, PBE.

Distance to the lowest polymorph of the same formula   0.000 eV/atom
Calculated volume   118.19 Å³ per cell
Electronic total energy   -4.31 eV/atom
Energy of formation from the pure elements   -0.15 eV per atom

Unit cell a=5.508 b=5.508 c=5.508 alpha=60.00 beta=60.00 gamma=60.00
Site moments in Bohr magnetons follow the coordinates.
Element x y z (fractional)
Pr  0.250  0.250  0.250  0.11
Tm  0.500  0.500  0.500  0.20
Tb  0.750  0.750  0.750  0.16
In  0.000  0.000  0.000  0.00

***

Entry 6:
TbPrTm2In4: optimized geometry, PBE.

Calculated volume   216.31 Å³ per cell
Electronic total energy   -4.11 eV/atom
Energy of formation from the pure elements   -0.45 eV per atom

Unit cell a=5.342 b=5.342 c=9.279 alpha=73.27 beta=73.27 gamma=60.00
Element x y z (fractional)
Tb  0.500  0.500  0.500
Pr  0.000  0.000  0.000
Tm  0.750  0.750  0.749
Tm  0.250  0.250  0.251
In  0.377  0.377  0.870
In  0.874  0.874  0.379
In  0.126  0.126  0.621
In  0.623  0.623  0.130

***

Entry 7:
Tb3Pr6Y2In: optimized geometry, PBE.

Calculated volume   397.29 Å³ per cell
Electronic total energy   -4.89 eV/atom
Energy of formation from the pure elements   -0.03 eV per atom

Unit cell a=6.260 b=6.260 c=11.918 alpha=95.09 beta=95.09 gamma=120.18
Element x y z (fractional)
Tb  0.168  0.832  0.500
Tb  0.832  0.168  0.500
Tb  0.500  0.500  0.500
Pr  0.918  0.592  0.752
Pr  0.756  0.756  0.249
Pr  0.082  0.408  0.248
Pr  0.592  0.918  0.752
Pr  0.244  0.244  0.751
Pr  0.408  0.082  0.248
Y  0.334  0.666  0.000
Y  0.666  0.334  0.000
In  0.000  0.000  0.000

***

Entry 8:
Tb6Pr2Y3In: optimized geometry, PBE.

Calculated volume   379.75 Å³ per cell
Electronic total energy   -5.01 eV/atom
Energy of formation from the pure elements   -0.05 eV per atom

Unit cell a=6.143 b=6.143 c=11.803 alpha=94.98 beta=94.98 gamma=120.03
Element x y z (fractional)
Tb  0.917  0.590  0.750
Tb  0.757  0.757  0.251
Tb  0.083  0.410  0.250
Tb  0.590  0.917  0.750
Tb  0.243  0.243  0.749
Tb  0.410  0.083  0.250
Pr  0.334  0.666  0.000
Pr  0.666  0.334  0.000
Y  0.167  0.833  0.500
Y  0.833  0.167  0.500
Y  0.500  0.500  0.500
In  0.000  0.000  0.000

***

Entry 9:
Tb6Pr3Y2In: optimized geometry, PBE.

Calculated volume   384.42 Å³ per cell
Electronic total energy   -4.85 eV/atom
Energy of formation from the pure elements   -0.04 eV per atom

Unit cell a=6.190 b=6.190 c=11.771 alpha=95.05 beta=95.05 gamma=120.03
Site moments in Bohr magnetons follow the coordinates.
Element x y z (fractional)
Tb  0.920  0.593  0.757  0.02
Tb  0.754  0.754  0.244  0.01
Tb  0.080  0.407  0.243  0.02
Tb  0.593  0.920  0.757  0.02
Tb  0.246  0.246  0.756  0.01
Tb  0.407  0.080  0.243  0.02
Pr  0.168  0.832  0.500  0.00
Pr  0.832  0.168  0.500  0.00
Pr  0.500  0.500  0.500  0.00
Y  0.334  0.666  0.000  0.06
Y  0.666  0.334  0.000  0.06
In  0.000  0.000  0.000  0.00

***

Entry 10:
Pr8In2Tc: optimized geometry, PBE.

Calculated volume   343.10 Å³ per cell
Electronic total energy   -5.08 eV/atom
Energy of formation from the pure elements   -0.16 eV per atom

Unit cell a=5.785 b=7.180 c=9.460 alpha=112.30 beta=107.80 gamma=90.00
Element x y z (fractional)
Pr  0.625  0.862  0.250
Pr  0.375  0.612  0.750
Pr  0.195  0.195  0.391
Pr  0.000  0.247  0.000
Pr  0.805  0.805  0.609
Pr  0.625  0.388  0.250
Pr  0.375  0.138  0.750
Pr  0.000  0.753  0.000
In  0.186  0.686  0.373
In  0.814  0.314  0.627
Tc  0.500  0.000  0.000